[1]
The following is a DFT calculation (PBE-GGA) of a relaxed LaGaGePt2 crystal.

Properties
Total moment   0.00 μB/f.u.
E_tot   -59.28 eV/cell

Structure (CIF):
```
data_LaGaGePt2
_chemical_formula_sum 'La2 Ga2 Ge2 Pt4'
_cell_length_a 4.3735
_cell_length_b 4.3735
_cell_length_c 10.3405
_cell_angle_alpha 90.00
_cell_angle_beta 90.00
_cell_angle_gamma 90.00
_symmetry_space_group_name_H-M 'P 4/n m m'
_symmetry_Int_Tables_number 129
loop_
_symmetry_equiv_pos_as_xyz
'x,y,z'
'-x,-y,-z'
'-y+1/2,x,z'
'y+1/2,-x,-z'
'-x+1/2,-y+1/2,z'
'x+1/2,y+1/2,-z'
'y,-x+1/2,z'
'-y,x+1/2,-z'
'x+1/2,-y,-z'
'-x+1/2,y,z'
'-y,-x,-z'
'y,x,z'
'-x,y+1/2,-z'
'x,-y+1/2,z'
'y+1/2,x+1/2,-z'
'-y+1/2,-x+1/2,z'
loop_
_atom_site_label
_atom_site_type_symbol
_atom_site_fract_x
_atom_site_fract_y
_atom_site_fract_z
La1 La 0.2500 0.2500 0.2472
Ga1 Ga 0.2500 0.7500 0.0000
Ge1 Ge 0.2500 0.2500 0.6287
Pt1 Pt 0.2500 0.2500 0.8679
Pt2 Pt 0.2500 0.7500 0.5000
```

[2]
The following is a DFT calculation (PBE-GGA) of a relaxed Li2Mg2GaNi2Ge crystal.

Properties
Total moment   0.00 μB/f.u.
E_tot   -28.37 eV/cell

Structure (CIF):
```
data_Li2Mg2GaNi2Ge
_chemical_formula_sum 'Li2 Mg2 Ga1 Ni2 Ge1'
_cell_length_a 4.2720
_cell_length_b 4.2720
_cell_length_c 6.0374
_cell_angle_alpha 90.00
_cell_angle_beta 90.00
_cell_angle_gamma 90.00
_symmetry_space_group_name_H-M 'P -4 m 2'
_symmetry_Int_Tables_number 115
_symmetry_space_group_name_Hall 'P -4 -2'
loop_
_atom_site_label
_atom_site_type_symbol
_atom_site_fract_x
_atom_site_fract_y
_atom_site_fract_z
Li1 Li 0.0000 0.5000 0.2494
Mg1 Mg 0.0000 0.0000 0.0000
Mg2 Mg 0.5000 0.5000 0.5000
Ga1 Ga 0.0000 0.0000 0.5000
Ni1 Ni 0.0000 0.5000 0.7531
Ge1 Ge 0.5000 0.5000 0.0000
```

[3]
The following is a DFT calculation (PBE-GGA) of a relaxed Li2Mg2GaGePd2 crystal.

Properties
E_tot   -29.32 eV/cell

Structure (CIF):
```
data_Li2Mg2GaGePd2
_chemical_formula_sum 'Li2 Mg2 Ga1 Ge1 Pd2'
_cell_length_a 4.4269
_cell_length_b 4.4269
_cell_length_c 6.2576
_cell_angle_alpha 90.00
_cell_angle_beta 90.00
_cell_angle_gamma 90.00
_symmetry_space_group_name_H-M 'P -4 m 2'
_symmetry_Int_Tables_number 115
_symmetry_space_group_name_Hall 'P -4 -2'
loop_
_atom_site_label
_atom_site_type_symbol
_atom_site_fract_x
_atom_site_fract_y
_atom_site_fract_z
Li1 Li 0.0000 0.5000 0.2498
Mg1 Mg 0.0000 0.0000 0.0000
Mg2 Mg 0.5000 0.5000 0.5000
Ga1 Ga 0.0000 0.0000 0.5000
Ge1 Ge 0.5000 0.5000 0.0000
Pd1 Pd 0.0000 0.5000 0.7502
```

[4]
The following is a DFT calculation (PBE-GGA) of a relaxed Li2Mg2GaGePt2 crystal.

Properties
Total moment   0.00 μB/f.u.
E_tot   -31.92 eV/cell

Structure (CIF):
```
data_Li2Mg2GaGePt2
_chemical_formula_sum 'Li2 Mg2 Ga1 Ge1 Pt2'
_cell_length_a 4.4114
_cell_length_b 4.4114
_cell_length_c 6.2396
_cell_angle_alpha 90.00
_cell_angle_beta 90.00
_cell_angle_gamma 90.00
_symmetry_space_group_name_H-M 'P -4 m 2'
_symmetry_Int_Tables_number 115
_symmetry_space_group_name_Hall 'P -4 -2'
loop_
_atom_site_label
_atom_site_type_symbol
_atom_site_fract_x
_atom_site_fract_y
_atom_site_fract_z
Li1 Li 0.0000 0.5000 0.2501
Mg1 Mg 0.0000 0.0000 0.0000
Mg2 Mg 0.5000 0.5000 0.5000
Ga1 Ga 0.0000 0.0000 0.5000
Ge1 Ge 0.5000 0.5000 0.0000
Pt1 Pt 0.0000 0.5000 0.7505
```

[5]
The following is a DFT calculation (PBE-GGA) of a relaxed Li2Zn2GaGePd2 crystal.

Properties
E_tot   -28.12 eV/cell

Structure (CIF):
```
data_Li2Zn2GaGePd2
_chemical_formula_sum 'Li2 Zn2 Ga1 Ge1 Pd2'
_cell_length_a 4.3439
_cell_length_b 4.3439
_cell_length_c 6.1347
_cell_angle_alpha 90.00
_cell_angle_beta 90.00
_cell_angle_gamma 90.00
_symmetry_space_group_name_H-M 'P -4 m 2'
_symmetry_Int_Tables_number 115
_symmetry_space_group_name_Hall 'P -4 -2'
loop_
_atom_site_label
_atom_site_type_symbol
_atom_site_fract_x
_atom_site_fract_y
_atom_site_fract_z
Li1 Li 0.0000 0.5000 0.2499
Zn1 Zn 0.0000 0.0000 0.0000
Zn2 Zn 0.5000 0.5000 0.5000
Ga1 Ga 0.0000 0.0000 0.5000
Ge1 Ge 0.5000 0.5000 0.0000
Pd1 Pd 0.0000 0.5000 0.7499
```

[6]
The following is a DFT calculation (PBE-GGA) of a relaxed Li4GaGePt2 crystal.

Properties
Total moment   0.01 μB/f.u.
E_tot   -32.60 eV/cell

Structure (CIF):
```
data_Li4GaGePt2
_chemical_formula_sum 'Li4 Ga1 Ge1 Pt2'
_cell_length_a 4.2775
_cell_length_b 4.2775
_cell_length_c 6.0197
_cell_angle_alpha 90.00
_cell_angle_beta 90.00
_cell_angle_gamma 90.00
_symmetry_space_group_name_H-M 'P -4 m 2'
_symmetry_Int_Tables_number 115
_symmetry_space_group_name_Hall 'P -4 -2'
loop_
_atom_site_label
_atom_site_type_symbol
_atom_site_fract_x
_atom_site_fract_y
_atom_site_fract_z
Li1 Li 0.0000 0.0000 0.0000
Li2 Li 0.0000 0.5000 0.7492
Li3 Li 0.5000 0.5000 0.5000
Ga1 Ga 0.0000 0.0000 0.5000
Ge1 Ge 0.5000 0.5000 0.0000
Pt1 Pt 0.0000 0.5000 0.2444
```

[7]
The following is a DFT calculation (PBE-GGA) of a relaxed Li2Zn2GaGePt2 crystal.

Properties
Total moment   0.00 μB/f.u.
E_tot   -30.52 eV/cell

Structure (CIF):
```
data_Li2Zn2GaGePt2
_chemical_formula_sum 'Li2 Zn2 Ga1 Ge1 Pt2'
_cell_length_a 4.3371
_cell_length_b 4.3371
_cell_length_c 6.1133
_cell_angle_alpha 90.00
_cell_angle_beta 90.00
_cell_angle_gamma 90.00
_symmetry_space_group_name_H-M 'P -4 m 2'
_symmetry_Int_Tables_number 115
_symmetry_space_group_name_Hall 'P -4 -2'
loop_
_atom_site_label
_atom_site_type_symbol
_atom_site_fract_x
_atom_site_fract_y
_atom_site_fract_z
Li1 Li 0.0000 0.5000 0.2488
Zn1 Zn 0.0000 0.0000 0.0000
Zn2 Zn 0.5000 0.5000 0.5000
Ga1 Ga 0.5000 0.5000 0.0000
Ge1 Ge 0.0000 0.0000 0.5000
Pt1 Pt 0.0000 0.5000 0.7487
```

[8]
The following is a DFT calculation (PBE-GGA) of a relaxed Li4Zn2GaGe crystal.

Properties
E_tot   -20.41 eV/cell

Structure (CIF):
```
data_Li4Zn2GaGe
_chemical_formula_sum 'Li4 Zn2 Ga1 Ge1'
_cell_length_a 4.3238
_cell_length_b 4.3238
_cell_length_c 6.1529
_cell_angle_alpha 90.00
_cell_angle_beta 90.00
_cell_angle_gamma 90.00
_symmetry_space_group_name_H-M 'P -4 m 2'
_symmetry_Int_Tables_number 115
_symmetry_space_group_name_Hall 'P -4 -2'
loop_
_atom_site_label
_atom_site_type_symbol
_atom_site_fract_x
_atom_site_fract_y
_atom_site_fract_z
Li1 Li 0.0000 0.0000 0.0000
Li2 Li 0.0000 0.5000 0.2500
Li3 Li 0.5000 0.5000 0.5000
Zn1 Zn 0.0000 0.5000 0.7449
Ga1 Ga 0.0000 0.0000 0.5000
Ge1 Ge 0.5000 0.5000 0.0000
```

What is the E_tot in the fifth record?
-28.12 eV/cell

Among the records above, which one has the highest E_tot?
Li4Zn2GaGe

Number 2 is which compound?
Li2Mg2GaNi2Ge

Which value of E_tot does entry 1 give?
-59.28 eV/cell